Computed, not measured: a relaxed structure of ZrMn2HPt at the PBE-GGA level of DFT.

a = 3.9031 Å, b = 3.9031 Å, c = 4.2210 Å
α = 90.00°, β = 90.00°, γ = 90.00°
Space group P4/mmm (No. 123)
Asymmetric unit:
Zr  0.0000  0.0000  0.0000
Mn  0.0000  0.5000  0.5000
H  0.0000  0.0000  0.5000
Pt  0.5000  0.5000  0.0000

Output
crystal system	tetragonal
DFT total energy	-37.9	eV/cell
volume	12.86	Å³/atom

Computed, not measured: a relaxed structure of Pu2MnH at the PBE-GGA level of DFT.

a = 3.0964 Å, b = 3.0964 Å, c = 6.8142 Å
α = 90.00°, β = 90.00°, γ = 90.00°
Space group P4/mmm (No. 123)
Asymmetric unit:
Pu  0.0000  0.0000  0.2314
Mn  0.5000  0.5000  0.5000
H  0.5000  0.5000  0.0000

Output
crystal system	tetragonal
distance to the lowest polymorph of the same formula	0	meV per atom
DFT total energy	-41.1	eV/cell
volume	16.33	Å³/atom

Computed, not measured: a relaxed structure of PuMn2H7 at the PBE-GGA level of DFT.

a = 4.8480 Å, b = 9.5885 Å, c = 3.2147 Å
α = 90.00°, β = 90.00°, γ = 90.00°
Space group Cmmm (No. 65)
Asymmetric unit:
Pu  0.0000  0.0000  0.0000
Mn  0.0000  0.3166  0.5000
H  0.0000  0.3770  0.0000
H  0.0000  0.5000  0.5000
H  0.1672  0.1510  0.5000

Output
crystal system	orthorhombic
DFT total energy	-113.6	eV/cell
volume	7.47	Å³/atom